Entry 1:
VASP calculation (PBE-GGA) on CaSc4Ag after structural relaxation.

Space group = No. 216
Energy of formation from the pure elements = 0.31 eV/atom

Cell and atoms, written as POSCAR:
```
CaSc4Ag
1.0
0.000 4.286 4.286
4.286 0.000 4.286
4.286 4.286 0.000
Sc Ag Ca
4 1 1
Direct
0.874 0.375 0.375 Sc
0.375 0.874 0.375 Sc
0.375 0.375 0.874 Sc
0.375 0.375 0.375 Sc
0.750 0.750 0.750 Ag
0.000 0.000 0.000 Ca
```


Entry 2:
VASP calculation (PBE-GGA) on Rb6Se2OF after structural relaxation.

Space group = No. 14
Formation energy (no corrections) = -12.9 eV/f.u.

Cell and atoms, written as POSCAR:
```
Rb6Se2OF
1.0
7.783 0.000 -0.039
0.000 7.915 0.000
0.015 0.000 11.006
O Rb F Se
2 12 2 4
Direct
0.500 0.000 0.500 O
0.000 0.500 0.000 O
0.431 0.994 0.748 Rb
0.797 0.795 0.961 Rb
0.295 0.700 0.035 Rb
0.705 0.300 0.965 Rb
0.297 0.705 0.461 Rb
0.569 0.006 0.252 Rb
0.069 0.494 0.752 Rb
0.203 0.205 0.039 Rb
0.703 0.295 0.539 Rb
0.205 0.200 0.465 Rb
0.795 0.800 0.535 Rb
0.931 0.506 0.248 Rb
0.000 0.500 0.500 F
0.500 0.000 0.000 F
0.489 0.441 0.252 Se
0.511 0.559 0.748 Se
0.011 0.941 0.248 Se
0.989 0.059 0.752 Se
```


Entry 3:
VASP calculation (PBE-GGA) on MnSiSe3 after structural relaxation.

Energy above the most stable polymorph in this dataset = 0.189 eV per atom
Space group = No. 221
Formation energy (no corrections) = 2.8 eV/f.u.

Cell and atoms, written as POSCAR:
```
MnSiSe3
1.0
-4.045 -0.868 2.212
-0.389 -4.066 -2.308
2.344 -2.173 3.434
Se Mn Si
3 1 1
Direct
0.000 0.000 0.500 Se
0.500 0.000 0.000 Se
0.000 0.500 0.000 Se
0.000 0.000 0.000 Mn
0.500 0.500 0.500 Si
```


Entry 4:
VASP calculation (PBE-GGA) on SrCr4Ir after structural relaxation.

Space group = No. 216
Energy of formation from the pure elements = 0.67 eV/atom

Cell and atoms, written as POSCAR:
```
SrCr4Ir
1.0
2.156 2.152 3.996
0.064 5.006 0.429
-2.840 2.260 3.474
Cr Sr Ir
4 1 1
Direct
0.375 0.375 0.375 Cr
0.375 0.375 0.875 Cr
0.375 0.875 0.375 Cr
0.875 0.375 0.375 Cr
0.000 0.000 0.000 Sr
0.750 0.750 0.750 Ir
```


Entry 5:
VASP calculation (PBE-GGA) on YTm5Mg after structural relaxation.

Space group = No. 15
Energy of formation from the pure elements = 0.21 eV/atom

Cell and atoms, written as POSCAR:
```
YTm5Mg
1.0
-4.621 5.231 4.559
-7.586 -0.257 3.447
-3.499 -0.516 11.879
Tm Mg Y
10 2 2
Direct
0.338 0.345 0.096 Tm
0.248 0.238 0.929 Tm
0.249 0.751 0.250 Tm
0.751 0.249 0.750 Tm
0.238 0.248 0.429 Tm
0.752 0.762 0.071 Tm
0.655 0.662 0.404 Tm
0.662 0.655 0.904 Tm
0.345 0.338 0.596 Tm
0.762 0.752 0.571 Tm
0.000 0.000 0.000 Mg
0.000 0.000 0.500 Mg
0.756 0.244 0.250 Y
0.244 0.756 0.750 Y
```


Entry 6:
VASP calculation (PBE-GGA) on SbSe2Cl after structural relaxation.

Energy above the most stable polymorph in this dataset = 0.536 eV per atom
Space group = No. 225
Formation energy (no corrections) = 0.9 eV/f.u.

Cell and atoms, written as POSCAR:
```
SbSe2Cl
1.0
-2.431 -3.793 -2.158
-4.995 -0.102 0.024
-2.534 0.746 -4.240
Se Sb Cl
2 1 1
Direct
0.250 0.250 0.250 Se
0.750 0.750 0.750 Se
0.500 0.500 0.500 Sb
0.000 0.000 0.000 Cl
```


| no. | magnetic moment (μB per atom) |
| --- | --- |
| 1 | 0.000 |
| 2 | 0.118 |
| 3 | 0.000 |
| 4 | 0.000 |
| 5 | 0.000 |
| 6 | 0.000 |